Here is RbSrIn3 after structural relaxation from Alexandria. Energies are from PBE.

Cell lengths 6.333, 6.333, 6.333 Å; angles 90.00, 90.00, 90.00 degrees
Element x y z (fractional)
Rb1 0.000 0.000 0.000
Sr1 0.500 0.500 0.500
In1 0.000 0.500 0.500
In2 0.500 0.000 0.500
In3 0.500 0.500 0.000

Results
- Energy relative to the elements: 34 kJ/mol of atoms
- Spin magnetization: 0.00 μB/f.u.
- Final energy: -1.82 eV/atom
- Energy above the lowest structure with this stoichiometry: 0 kJ/mol of formula units
- Symmetry: Pm-3m (221)


Here is Rb2Sr2In after structural relaxation from Alexandria. Energies are from PBE.

Cell lengths 8.945, 8.945, 7.538 Å; angles 90.00, 90.00, 90.00 degrees
Element x y z (fractional)
Rb1 0.179 0.321 0.000
Rb2 0.321 0.821 0.000
Rb3 0.679 0.179 0.000
Rb4 0.821 0.679 0.000
Sr1 0.166 0.666 0.500
Sr2 0.334 0.166 0.500
Sr3 0.666 0.834 0.500
Sr4 0.834 0.334 0.500
In1 0.000 0.000 0.500
In2 0.500 0.500 0.500

Results
- Energy relative to the elements: 7 kJ/mol of atoms
- Spin magnetization: 0.00 μB/f.u.
- Final energy: -1.54 eV/atom
- Symmetry: P4/mbm (127)


Here is RbSr3In after structural relaxation from Alexandria. Energies are from PBE.

Cell lengths 6.565, 6.565, 6.565 Å; angles 90.00, 90.00, 90.00 degrees
Element x y z (fractional)
Rb1 0.000 0.000 0.000
Sr1 0.000 0.000 0.500
Sr2 0.000 0.500 0.000
Sr3 0.500 0.000 0.000
In1 0.500 0.500 0.500

Results
- Energy relative to the elements: 83 kJ/mol of atoms
- Spin magnetization: 1.90 μB/f.u.
- Final energy: -0.89 eV/atom
- Energy above the lowest structure with this stoichiometry: 442 kJ/mol of formula units
- Symmetry: Pm-3m (221)


Here is RbSr3In after structural relaxation from Alexandria. Energies are from PBE.

Cell lengths 6.613, 6.613, 6.613 Å; angles 90.00, 90.00, 90.00 degrees
Element x y z (fractional)
Rb1 0.000 0.000 0.000
Sr1 0.000 0.500 0.500
Sr2 0.500 0.000 0.500
Sr3 0.500 0.500 0.000
In1 0.500 0.500 0.500

Results
- Energy relative to the elements: -5 kJ/mol of atoms
- Spin magnetization: 0.00 μB/f.u.
- Final energy: -1.80 eV/atom
- Energy above the lowest structure with this stoichiometry: 0 kJ/mol of formula units
- Symmetry: Pm-3m (221)


Here is Rb2SrIn2 after structural relaxation from Alexandria. Energies are from PBE.

Cell lengths 8.739, 8.739, 6.354 Å; angles 90.00, 90.00, 90.00 degrees
Element x y z (fractional)
Rb1 0.174 0.326 0.000
Rb2 0.326 0.826 0.000
Rb3 0.674 0.174 0.000
Rb4 0.826 0.674 0.000
Sr1 0.000 0.000 0.500
Sr2 0.500 0.500 0.500
In1 0.117 0.617 0.500
In2 0.383 0.117 0.500
In3 0.617 0.883 0.500
In4 0.883 0.383 0.500

Results
- Energy relative to the elements: 0 kJ/mol of atoms
- Spin magnetization: 0.00 μB/f.u.
- Final energy: -1.82 eV/atom
- Energy above the lowest structure with this stoichiometry: 0 kJ/mol of formula units
- Symmetry: P4/mbm (127)


Here is Rb4Sr2In after structural relaxation from Alexandria. Energies are from PBE.

Cell lengths 12.045, 12.045, 12.045 Å; angles 145.87, 145.87, 49.04 degrees
Element x y z (fractional)
Rb1 0.000 0.500 0.500
Rb2 0.172 0.172 0.000
Rb3 0.500 0.000 0.500
Rb4 0.828 0.828 0.000
Sr1 0.382 0.382 0.000
Sr2 0.618 0.618 0.000
In1 0.000 0.000 0.000

Results
- Energy relative to the elements: 29 kJ/mol of atoms
- Spin magnetization: 0.00 μB/f.u.
- Final energy: -1.13 eV/atom
- Symmetry: I4/mmm (139)